A plane-wave DFT calculation with PBE was carried out for a relaxed Ba2PtClO crystal.

The space group is P4/mmm (No. 123) and the conventional cell measures 5.8587, 5.8587 and 4.5376 Å, with angles of 90.00, 90.00 and 90.00 degrees. The asymmetric unit holds Ba at (0.0000, 0.5000, 0.0000), Pt at (0.0000, 0.0000, 0.5000), Cl at (0.0000, 0.0000, 0.0000) and O at (0.5000, 0.5000, 0.5000).

As for the uncorrected formation energy: -673 meV per atom.